Material: CdPNF2
Method: DFT, PBEsol
State: optimized geometry

```
5
Lattice="4.4561 0.0000 0.0000 0.0000 4.4561 0.0000 0.0000 0.0000 3.2746" Properties=species:S:1:pos:R:3 pbc="T T T"
Cd 0.0000 0.0000 0.0000
P 2.2281 2.2281 1.6373
N 2.2281 2.2281 0.0000
F 0.0000 2.2281 1.6373
F 2.2281 0.0000 1.6373
```

Values from the calculation:
Space-group type = No. 123

Material: CdPNF2
Method: DFT, PBEsol
State: optimized geometry

```
5
Lattice="4.1580 0.0000 0.0000 0.0000 4.1580 0.0000 0.0000 0.0000 4.4836" Properties=species:S:1:pos:R:3 pbc="T T T"
Cd 0.0000 0.0000 0.0000
P 2.0790 2.0790 2.2418
N 0.0000 0.0000 2.2418
F 0.0000 2.0790 0.0000
F 2.0790 0.0000 0.0000
```

Values from the calculation:
Space-group type = No. 123

Material: CdPdN2F
Method: DFT, PBEsol
State: optimized geometry

```
5
Lattice="4.1552 0.0000 0.0000 0.0000 4.1552 0.0000 0.0000 0.0000 4.2488" Properties=species:S:1:pos:R:3 pbc="T T T"
Cd 0.0000 0.0000 0.0000
Pd 2.0776 2.0776 2.1244
N 0.0000 2.0776 0.0000
N 2.0776 0.0000 0.0000
F 0.0000 0.0000 2.1244
```

Values from the calculation:
Space-group type = No. 123

Material: CdPtN2F
Method: DFT, PBEsol
State: optimized geometry

```
5
Lattice="4.1475 0.0000 0.0000 0.0000 4.1475 0.0000 0.0000 0.0000 3.9661" Properties=species:S:1:pos:R:3 pbc="T T T"
Cd 0.0000 0.0000 0.0000
Pt 2.0738 2.0738 1.9830
N 0.0000 2.0738 0.0000
N 2.0738 0.0000 0.0000
F 0.0000 0.0000 1.9830
```

Values from the calculation:
Space-group type = No. 123

Material: CdRuN2F
Method: DFT, PBEsol
State: optimized geometry

```
5
Lattice="4.0971 0.0000 0.0000 0.0000 4.0971 0.0000 0.0000 0.0000 4.1149" Properties=species:S:1:pos:R:3 pbc="T T T"
Cd 0.0000 0.0000 0.0000
Ru 2.0486 2.0486 2.0575
N 0.0000 2.0486 0.0000
N 2.0486 0.0000 0.0000
F 0.0000 0.0000 2.0575
```

Values from the calculation:
Space-group type = No. 123

Material: CdSbNF2
Method: DFT, PBEsol
State: optimized geometry

```
5
Lattice="4.3607 0.0000 0.0000 0.0000 4.3607 0.0000 0.0000 0.0000 4.2178" Properties=species:S:1:pos:R:3 pbc="T T T"
Cd 0.0000 0.0000 0.0000
Sb 2.1804 2.1804 2.1089
N 2.1804 2.1804 0.0000
F 0.0000 2.1804 2.1089
F 2.1804 0.0000 2.1089
```

Values from the calculation:
Space-group type = No. 123

Material: CdSiN2F
Method: DFT, PBEsol
State: optimized geometry

```
5
Lattice="3.6296 0.0000 0.0000 0.0000 3.6296 0.0000 0.0000 0.0000 3.7674" Properties=species:S:1:pos:R:3 pbc="T T T"
Cd 0.0000 0.0000 0.0000
Si 1.8148 1.8148 1.8837
N 0.0000 1.8148 1.8837
N 1.8148 0.0000 1.8837
F 1.8148 1.8148 0.0000
```

Values from the calculation:
Space-group type = No. 123

Material: CdSnN2F
Method: DFT, PBEsol
State: optimized geometry

```
5
Lattice="4.0969 0.0000 0.0000 0.0000 4.0969 0.0000 0.0000 0.0000 4.1037" Properties=species:S:1:pos:R:3 pbc="T T T"
Cd 0.0000 0.0000 0.0000
Sn 2.0485 2.0485 2.0519
N 0.0000 2.0485 2.0519
N 2.0485 0.0000 2.0519
F 2.0485 2.0485 0.0000
```

Values from the calculation:
Space-group type = No. 123

Let's list density of states at the Fermi level in order: 1.971; 2.705; 6.222; 4.146; 4.723; 1.678; 1.295; 1.901 states/eV per cell.
Let's list E_tot in order: -4.40; -3.55; -3.75; -3.73; -4.33; -4.22; -5.68; -4.68 eV/atom.